# TaMo2Rh | the Alexandria database | GGA-PBE | optimized geometry
# - ΔE_f: -0.131 eV per atom
# - Density of states at the Fermi level: 4.03 states/eV/f.u.
# - Total moment: 0.00 μB per formula unit
# - E above lowest polymorph: 0.0 kJ per mole of atoms
data_TaMo2Rh
_chemical_formula_sum 'Ta1 Mo2 Rh1'
_cell_length_a 3.197
_cell_length_b 3.197
_cell_length_c 6.309
_cell_angle_alpha 90.00
_cell_angle_beta 90.00
_cell_angle_gamma 90.00
_space_group_name_H-M_alt 'P 4 m m'
_space_group_IT_number 99
_space_group_name_Hall 'P 4 -2'
loop_
_atom_site_label
_atom_site_fract_x
_atom_site_fract_y
_atom_site_fract_z
_atom_site_occupancy
Ta1 0.000 0.000 0.000 1
Mo1 0.000 0.000 0.486 1
Mo2 0.500 0.500 0.258 1
Rh1 0.500 0.500 0.762 1

=====

# Ta3MoRh | the Alexandria database | GGA-PBE | optimized geometry
# - ΔE_f: 1.510 eV per atom
# - Density of states at the Fermi level: 6.20 states/eV/f.u.
# - Total moment: 0.00 μB per formula unit
# - E above lowest polymorph: 12.3 kJ per mole of atoms
data_Ta3MoRh
_chemical_formula_sum 'Ta3 Mo1 Rh1'
_cell_length_a 4.756
_cell_length_b 4.756
_cell_length_c 4.756
_cell_angle_alpha 90.00
_cell_angle_beta 90.00
_cell_angle_gamma 90.00
_space_group_name_H-M_alt 'P m -3 m'
_space_group_IT_number 221
_space_group_name_Hall '-P 4 2 3'
loop_
_atom_site_label
_atom_site_fract_x
_atom_site_fract_y
_atom_site_fract_z
_atom_site_occupancy
Ta1 0.000 0.000 0.500 1
Mo1 0.000 0.000 0.000 1
Rh1 0.500 0.500 0.500 1